Record 1
The following is a DFT calculation (SCAN) of a crystal of CdIn2Pb relaxed with PBEsol.

Properties
SG	R-3m, No. 166
energy relative to the elements	0.062	eV/atom
energy	-172.721	eV per formula unit
N(E_F)	1.7	states/eV/cell

a b c (Å): 3.362 3.362 10.600
angles (deg): 80.87 80.87 60.00
Atoms (fractional coordinates):
Cd 0.000 0.000 0.000
Pb 0.500 0.500 0.500
In 0.256 0.256 0.233
In 0.744 0.744 0.767


Record 2
The following is a DFT calculation (SCAN) of a crystal of CdIn2Pb relaxed with PBEsol.

Properties
SG	I4/mmm, No. 139
energy relative to the elements	0.083	eV/atom
energy	-172.638	eV per formula unit
N(E_F)	1.6	states/eV/cell

a b c (Å): 4.793 4.793 5.590
angles (deg): 115.39 115.39 90.00
Atoms (fractional coordinates):
In 0.250 0.750 0.500
In 0.750 0.250 0.500
Cd 0.000 0.000 0.000
Pb 0.500 0.500 0.000


Record 3
The following is a DFT calculation (SCAN) of a crystal of CdIn2Pb relaxed with PBEsol.

Properties
SG	Cmm2, No. 35
energy relative to the elements	0.091	eV/atom
energy	-172.604	eV per formula unit
N(E_F)	1.5	states/eV/cell

a b c (Å): 3.269 3.269 10.667
angles (deg): 90.00 90.00 115.25
Atoms (fractional coordinates):
In 0.500 0.500 0.757
In 0.000 0.000 0.008
Cd 0.500 0.500 0.243
Pb 0.000 0.000 0.492


Record 4
The following is a DFT calculation (SCAN) of a crystal of CdInPb2 relaxed with PBEsol.

Properties
energy above the lowest structure with this stoichiometry	28.7	meV/atom
SG	Cmmm, No. 65
energy relative to the elements	0.086	eV/atom
energy	-215.021	eV per formula unit
N(E_F)	1.7	states/eV/cell

a b c (Å): 3.340 3.340 10.624
angles (deg): 90.00 90.00 114.76
Atoms (fractional coordinates):
Cd 0.500 0.500 0.500
In 0.500 0.500 0.000
Pb 0.000 0.000 0.259
Pb 0.000 0.000 0.741


Record 5
The following is a DFT calculation (SCAN) of a crystal of CdInPb2 relaxed with PBEsol.

Properties
energy above the lowest structure with this stoichiometry	19.3	meV/atom
SG	Pmmm, No. 47
energy relative to the elements	0.076	eV/atom
energy	-215.058	eV per formula unit
N(E_F)	1.7	states/eV/cell

a b c (Å): 4.682 4.757 4.801
angles (deg): 90.00 90.00 90.00
Atoms (fractional coordinates):
In 0.000 0.500 0.500
Pb 0.000 0.000 0.000
Pb 0.500 0.000 0.500
Cd 0.500 0.500 0.000


Record 6
The following is a DFT calculation (SCAN) of a crystal of CdIn2Pb relaxed with PBEsol.

Properties
SG	P4mm, No. 99
energy relative to the elements	0.090	eV/atom
energy	-172.609	eV per formula unit
N(E_F)	1.6	states/eV/cell

a b c (Å): 3.645 3.645 7.725
angles (deg): 90.00 90.00 90.00
Atoms (fractional coordinates):
Pb 0.000 0.000 0.514
In 0.500 0.500 0.232
In 0.000 0.000 0.987
Cd 0.500 0.500 0.768


Record 7
The following is a DFT calculation (SCAN) of a crystal of CdInPb relaxed with PBEsol.

Properties
energy above the lowest structure with this stoichiometry	21.3	meV/atom
SG	Fmm2, No. 42
energy relative to the elements	0.090	eV/atom
energy	-139.311	eV per formula unit
N(E_F)	1.0	states/eV/cell

a b c (Å): 3.291 3.291 8.262
angles (deg): 96.16 96.16 117.46
Atoms (fractional coordinates):
In 0.659 0.659 0.319
Pb 0.338 0.338 0.675
Cd 0.003 0.003 0.006


Record 8
The following is a DFT calculation (SCAN) of a crystal of CdIn2Pb relaxed with PBEsol.

Properties
SG	Pm, No. 6
energy relative to the elements	0.085	eV/atom
energy	-172.627	eV per formula unit
N(E_F)	1.5	states/eV/cell

a b c (Å): 3.316 5.095 6.201
angles (deg): 90.00 100.19 90.00
Atoms (fractional coordinates):
Cd 0.056 0.500 0.731
In 0.174 0.000 0.016
In 0.790 0.500 0.219
Pb 0.480 0.000 0.534


Which formula does entry 3 have?
CdIn2Pb


Which value of energy relative to the elements does entry 4 give?
0.086 eV/atom


Which of these has the lowest energy?
number 5


Among the records above, which one has the lowest energy relative to the elements?
number 1